A relaxed LaMn3Tl crystal, computed with PBE.

* N(E_F): 0.85 states/eV/atom
* formation energy from the elements: 1.464 eV/atom
* polymorph energy (0 for the lowest one): 565 meV/atom

The structure in CIF format:
```
data_LaMn3Tl
_chemical_formula_sum 'La1 Mn3 Tl1'
_cell_length_a 4.944
_cell_length_b 4.944
_cell_length_c 4.944
_cell_angle_alpha 90.00
_cell_angle_beta 90.00
_cell_angle_gamma 90.00
_space_group_name_H-M_alt 'P m -3 m'
_space_group_IT_number 221
_space_group_name_Hall '-P 4 2 3'
loop_
_atom_site_label
_atom_site_fract_x
_atom_site_fract_y
_atom_site_fract_z
La1 0.000 0.000 0.000
Mn1 0.000 0.000 0.500
Tl1 0.500 0.500 0.500
```